Compound: LiNdMgBe
Source: Alexandria
Functional: GGA-PBE
Structure: optimized geometry

Structure (POSCAR):
```
LiNdMgBe
1.0
0.000 3.424 3.424
3.424 0.000 3.424
3.424 3.424 0.000
Li Nd Mg Be
1 1 1 1
Direct
0.000 0.000 0.000
0.250 0.250 0.250
0.750 0.750 0.750
0.500 0.500 0.500
```

Values from the calculation:
Total energy (eV per atom): -2.954